VASP calculation (PBE) on La5Pm12Sc2 after structural relaxation.

Cell: 18.4815 7.9884 9.5198 Å, 90.00 110.76 90.00°
With the nearest neighbours (Å) after each atom.
Space group C2/m (No. 12)
One atom of each set of equivalent atoms:
La  0.0000  0.0000  0.0000 (multiplicity 2)  6 Pm 3.43-3.47
La  0.1896  0.5000  0.7007 (multiplicity 4)  2 Sc 3.61, 8 Pm 3.63-3.92, 2 La 4.03
La  0.2201  0.0000  0.7263 (multiplicity 4)  5 Pm 3.20-3.58
Pm  0.0217  0.5000  0.1802 (multiplicity 4)  5 Pm 3.24-3.62, 2 Sc 3.48
Pm  0.0394  0.0000  0.6745 (multiplicity 4)  2 Sc 3.06, 1 Pm 3.12, 2 La 3.20-3.43
Pm  0.1489  0.2219  0.3774 (multiplicity 8)  3 Pm 3.29-3.67, 1 Sc 3.46, 3 La 3.58-3.67
Pm  0.1509  0.2490  0.9846 (multiplicity 8)  4 La 3.47-3.72, 4 Pm 3.55-3.76
Sc  0.0000  0.3298  0.5000 (multiplicity 4)  1 Sc 2.72

ΔH_f (0 K)	0.17	eV per atom

***

VASP calculation (PBE) on Be4CdCu after structural relaxation.

Cell: 6.3273 6.3273 6.3273 Å, 90.00 90.00 90.00°
With the nearest neighbours (Å) after each atom.
Space group F-43m (No. 216)
One atom of each set of equivalent atoms:
Be  0.1237  0.1237  0.3763 (multiplicity 16)  6 Be 2.21-2.26
Cd  0.0000  0.0000  0.0000 (multiplicity 4)  12 Be 2.63, 4 Cu 2.74
Cu  0.2500  0.2500  0.7500 (multiplicity 4)  12 Be 2.62, 4 Cd 2.74

ΔH_f (0 K)	0.05	eV per atom

***

VASP calculation (PBE) on LaPm2Sm4Tm after structural relaxation.

Cell: 13.7554 13.4166 6.8997 Å, 90.00 120.02 90.00°
With the nearest neighbours (Å) after each atom.
Space group C2/c (No. 15)
One atom of each set of equivalent atoms:
La  0.2500  0.2500  0.0000 (multiplicity 4)  6 Sm 3.35-3.45, 2 Pm 3.45
Pm  0.0000  0.0000  0.0000 (multiplicity 4)  6 Sm 3.43-3.51, 2 Pm 3.45
Pm  0.2500  0.2500  0.5000 (multiplicity 4)  6 Sm 3.36-3.44, 2 La 3.45
Sm  0.0003  0.2560  0.0015 (multiplicity 8)  1 Tm 3.27, 2 Sm 3.43-3.47, 3 Pm 3.43-3.44, 2 La 3.44-3.45
Sm  0.2460  0.5001  0.4887 (multiplicity 8)  1 La 3.35, 3 Pm 3.36-3.51, 2 Tm 3.38-3.42, 2 Sm 3.45
Tm  0.0000  0.5000  0.0000 (multiplicity 4)  6 Sm 3.27-3.42, 2 Tm 3.45

ΔH_f (0 K)	0.38	eV per atom

***

VASP calculation (PBE) on Pm2Br3 after structural relaxation.

Cell: 6.7246 6.7246 24.0055 Å, 90.00 90.00 120.00°
With the nearest neighbours (Å) after each atom.
Space group R-3c (No. 167, hexagonal axes)
One atom of each set of equivalent atoms:
Pm  0.0000  0.0000  0.1687 (multiplicity 12)  6 Br 2.99-3.03
Br  0.0000  0.3365  0.2500 (multiplicity 18)  4 Pm 2.99-3.03

energy relative to the elements, uncorrected	-1.300	eV per atom

***

VASP calculation (PBE) on HfPd2Au3 after structural relaxation.

Cell: 7.4040 8.2861 7.1355 Å, 90.00 101.60 90.00°
With the nearest neighbours (Å) after each atom.
Space group C2/c (No. 15)
One atom of each set of equivalent atoms:
Hf  0.0000  0.0786  0.2500 (multiplicity 4)  5 Au 2.71-2.81, 4 Pd 2.88-2.90
Pd  0.1228  0.2257  0.6195 (multiplicity 8)  2 Pd 2.81-2.85, 2 Hf 2.88-2.90, 7 Au 2.93-3.10
Au  0.0000  0.4050  0.2500 (multiplicity 4)  4 Au 2.70-2.83, 1 Hf 2.71, 4 Pd 2.97-3.00
Au  0.2446  0.4133  0.9923 (multiplicity 8)  3 Au 2.70-2.83, 2 Hf 2.73-2.81, 3 Pd 2.93-3.00

ΔH_f (0 K)	-0.39	eV per atom

***

VASP calculation (PBE) on LiTa2TlHg after structural relaxation.

Cell: 5.1914 5.1914 4.4745 Å, 90.00 90.00 90.00°
With the nearest neighbours (Å) after each atom.
Space group P4/mmm (No. 123)
One atom of each set of equivalent atoms:
Li  0.0000  0.0000  0.0000 (multiplicity 1)  2 Tl 2.24
Ta  0.0000  0.5000  0.5000 (multiplicity 2)  2 Tl 2.60
Tl  0.0000  0.0000  0.5000 (multiplicity 1)  2 Li 2.24
Hg  0.5000  0.5000  0.0000 (multiplicity 1)  8 Ta 3.43, 4 Li 3.67

ΔH_f (0 K)	1.60	eV per atom

***

VASP calculation (PBE) on Er3Si6Pd20 after structural relaxation.

Cell: 12.2932 12.2932 12.2932 Å, 90.00 90.00 90.00°
With the nearest neighbours (Å) after each atom.
Space group Fm-3m (No. 225)
One atom of each set of equivalent atoms:
Er  0.0000  0.0000  0.0000 (multiplicity 4)  12 Pd 3.00, 6 Si 3.29
Er  0.2500  0.2500  0.2500 (multiplicity 8)  4 Pd 2.83
Si  0.0000  0.0000  0.2677 (multiplicity 24)  8 Pd 2.42-2.48
Pd  0.0000  0.1725  0.1725 (multiplicity 48)  2 Si 2.42, 1 Pd 2.70
Pd  0.1170  0.1170  0.3830 (multiplicity 32)  3 Si 2.48

energy relative to the elements, uncorrected	-0.824	eV per atom

***

VASP calculation (PBE) on Ca2Mg2Rh after structural relaxation.

Cell: 7.0113 7.0113 5.2198 Å, 90.00 90.00 90.00°
With the nearest neighbours (Å) after each atom.
Space group P4/mbm (No. 127)
One atom of each set of equivalent atoms:
Ca  0.1820  0.3180  0.0000 (multiplicity 4)  2 Mg 3.10
Mg  0.1496  0.6496  0.5000 (multiplicity 4)  2 Rh 2.67, 1 Mg 2.97
Rh  0.0000  0.0000  0.5000 (multiplicity 2)  4 Mg 2.67

ΔH_f (0 K)	-0.08	eV per atom

***

VASP calculation (PBE) on Sc2IrS after structural relaxation.

Cell: 3.9634 3.9634 22.3338 Å, 90.00 90.00 120.00°
With the nearest neighbours (Å) after each atom.
Space group R-3m (No. 166, hexagonal axes)
One atom of each set of equivalent atoms:
Sc  0.0000  0.0000  0.1052 (multiplicity 6)  1 S 2.35
Ir  0.0000  0.0000  0.5000 (multiplicity 3)  6 Sc 2.67
S  0.0000  0.0000  0.0000 (multiplicity 3)  2 Sc 2.35

energy relative to the elements, uncorrected	-0.695	eV per atom

***

VASP calculation (PBE) on Ta2AsRu after structural relaxation.

Cell: 4.0494 4.0494 7.9414 Å, 90.00 90.00 90.00°
With the nearest neighbours (Å) after each atom.
Space group I4/mmm (No. 139)
One atom of each set of equivalent atoms:
Ta  0.0000  0.5000  0.2500 (multiplicity 4)  4 Ru 2.84, 4 As 2.84, 4 Ta 2.86
As  0.0000  0.0000  0.0000 (multiplicity 2)  8 Ta 2.84, 4 Ru 2.86
Ru  0.0000  0.0000  0.5000 (multiplicity 2)  8 Ta 2.84, 4 As 2.86

ΔH_f (0 K)	-0.10	eV per atom

***

VASP calculation (PBE) on LaFe2Cl after structural relaxation.

Cell: 4.5639 4.5639 14.5802 Å, 90.00 90.00 90.00°
With the nearest neighbours (Å) after each atom.
Space group I-42d (No. 122)
One atom of each set of equivalent atoms:
La  0.0000  0.0000  0.0000 (multiplicity 4)  8 Fe 3.12-3.15, 4 Cl 3.23
Fe  0.0047  0.7500  0.6250 (multiplicity 8)  2 Cl 2.15, 2 Fe 2.28
Cl  0.0000  0.0000  0.5000 (multiplicity 4)  4 Fe 2.15

energy relative to the elements, uncorrected	0.156	eV per atom

***

VASP calculation (PBE) on K4GaHg12 after structural relaxation.

Cell: 10.1307 10.1307 10.1307 Å, 90.00 90.00 90.00°
With the nearest neighbours (Å) after each atom.
Space group Im-3m (No. 229)
One atom of each set of equivalent atoms:
K  0.2500  0.2500  0.2500 (multiplicity 8)  12 Hg 3.58-3.61
Ga  0.0000  0.0000  0.0000 (multiplicity 2)  6 Hg 2.99
Hg  0.0000  0.0000  0.2947 (multiplicity 12)  1 Ga 2.99, 4 Hg 3.28
Hg  0.0000  0.2500  0.5000 (multiplicity 12)  8 Hg 3.28-3.58, 4 K 3.58

ΔH_f (0 K)	-0.18	eV per atom

***

VASP calculation (PBE) on TlOsPb4 after structural relaxation.

Cell: 8.9399 8.9399 8.9399 Å, 90.00 90.00 90.00°
With the nearest neighbours (Å) after each atom.
Space group F-43m (No. 216)
One atom of each set of equivalent atoms:
Tl  0.0000  0.0000  0.0000 (multiplicity 4)  12 Pb 3.71, 4 Os 3.87
Os  0.2500  0.2500  0.7500 (multiplicity 4)  12 Pb 3.70, 4 Tl 3.87
Pb  0.1243  0.1243  0.3757 (multiplicity 16)  6 Pb 3.14-3.18

ΔH_f (0 K)	1.01	eV per atom

***

VASP calculation (PBE) on TiCrOs after structural relaxation.

Cell: 2.6421 2.6421 13.4396 Å, 90.00 90.00 90.00°
With the nearest neighbours (Å) after each atom.
Space group I4mm (No. 107)
One atom of each set of equivalent atoms:
Ti  0.0000  0.0000  0.0000 (multiplicity 2)  1 Os 2.56, 4 Ti 2.64, 4 Cr 2.69
Cr  0.0000  0.0000  0.6436 (multiplicity 2)  1 Os 2.23
Os  0.0000  0.0000  0.8093 (multiplicity 2)  1 Cr 2.23

ΔH_f (0 K)	0.72	eV per atom

***

VASP calculation (PBE) on DyCdGePt after structural relaxation.

Cell: 6.8607 6.8607 6.8607 Å, 90.00 90.00 90.00°
With the nearest neighbours (Å) after each atom.
Space group F-43m (No. 216)
One atom of each set of equivalent atoms:
Dy  0.0000  0.0000  0.0000 (multiplicity 4)  4 Ge 2.97, 4 Pt 2.97
Cd  0.0000  0.0000  0.5000 (multiplicity 4)  4 Ge 2.97, 4 Pt 2.97
Ge  0.2500  0.2500  0.2500 (multiplicity 4)  4 Cd 2.97, 4 Dy 2.97
Pt  0.2500  0.2500  0.7500 (multiplicity 4)  4 Cd 2.97, 4 Dy 2.97

ΔH_f (0 K)	-0.57	eV per atom

***

VASP calculation (PBE) on HPb3F after structural relaxation.

Cell: 4.8416 4.8416 4.8416 Å, 90.00 90.00 90.00°
With the nearest neighbours (Å) after each atom.
Space group Pm-3m (No. 221)
One atom of each set of equivalent atoms:
H  0.0000  0.0000  0.0000 (multiplicity 1)  6 Pb 2.42
Pb  0.0000  0.0000  0.5000 (multiplicity 3)  2 H 2.42
F  0.5000  0.5000  0.5000 (multiplicity 1)  12 Pb 3.42

energy	-16.90	eV for the cell shown

***

VASP calculation (PBE) on SrLa4Os after structural relaxation.

Cell: 9.0502 9.0502 9.0502 Å, 90.00 90.00 90.00°
With the nearest neighbours (Å) after each atom.
Space group F-43m (No. 216)
One atom of each set of equivalent atoms:
Sr  0.0000  0.0000  0.0000 (multiplicity 4)  12 La 3.76, 4 Os 3.92
La  0.1217  0.1217  0.6217 (multiplicity 16)  6 La 3.12-3.28
Os  0.2500  0.2500  0.2500 (multiplicity 4)  12 La 3.74, 4 Sr 3.92

ΔH_f (0 K)	0.81	eV per atom

***

VASP calculation (PBE) on BaSrCa2Al after structural relaxation.

Cell: 6.0846 6.0846 6.3496 Å, 90.00 90.00 90.00°
With the nearest neighbours (Å) after each atom.
Space group P4/mmm (No. 123)
One atom of each set of equivalent atoms:
Ba  0.0000  0.0000  0.0000 (multiplicity 1)  4 Sr 4.30, 8 Ca 4.40
Sr  0.5000  0.5000  0.0000 (multiplicity 1)  2 Al 3.17
Ca  0.0000  0.5000  0.5000 (multiplicity 2)  2 Al 3.04
Al  0.5000  0.5000  0.5000 (multiplicity 1)  4 Ca 3.04, 2 Sr 3.17

ΔH_f (0 K)	0.05	eV per atom

***

VASP calculation (PBE) on NaHgOs2O8 after structural relaxation.

Cell: 8.1722 8.1722 7.4491 Å, 90.00 90.00 90.00°
With the nearest neighbours (Å) after each atom.
Space group I-4m2 (No. 119)
One atom of each set of equivalent atoms:
Na  0.0000  0.0000  0.0000 (multiplicity 2)  8 O 2.80-3.01
Hg  0.0000  0.5000  0.7500 (multiplicity 2)  8 O 2.81-3.02
Os  0.0000  0.0000  0.5000 (multiplicity 2)  4 O 1.75
Os  0.0000  0.5000  0.2500 (multiplicity 2)  4 O 1.76
O  0.0000  0.1710  0.6415 (multiplicity 8)  1 Os 1.75
O  0.0000  0.3281  0.1087 (multiplicity 8)  1 Os 1.76

energy relative to the elements, uncorrected	-0.934	eV per atom

***

VASP calculation (PBE) on AcPm7Sm4 after structural relaxation.

Cell: 6.4006 7.4052 9.1314 Å, 89.98 76.46 89.99°
With the nearest neighbours (Å) after each atom.
Space group P-1 (No. 2)
One atom of each set of equivalent atoms:
Ac  0.0000  0.0000  0.0000 (multiplicity 1)  2 Sm 3.68, 10 Pm 3.68-3.71
Pm  0.0000  0.5000  0.0000 (multiplicity 1)  4 Sm 3.64-3.65, 6 Pm 3.66-3.68, 2 Ac 3.70
Pm  0.2253  0.0000  0.3364 (multiplicity 2)  6 Pm 3.62-3.74, 5 Sm 3.63-3.74, 1 Ac 3.69
Pm  0.2799  0.7463  0.6643 (multiplicity 2)  6 Sm 3.61-3.76, 5 Pm 3.62-3.74, 1 Ac 3.68
Pm  0.5001  0.2540  0.9997 (multiplicity 2)  3 Sm 3.63-3.66, 7 Pm 3.64-3.76, 2 Ac 3.71
Sm  0.2197  0.4999  0.3328 (multiplicity 2)  4 Sm 3.63-3.69, 8 Pm 3.63-3.70
Sm  0.2793  0.2542  0.6648 (multiplicity 2)  8 Pm 3.61-3.76, 3 Sm 3.63-3.69, 1 Ac 3.68

ΔH_f (0 K)	0.01	eV per atom